Record 1
Density functional theory data (PBE) for a relaxed structure of B2POsF.

Output
As for the formation energy from raw total energies: 1138 meV per atom. For the spin magnetization, the calculation gives 0.0 Bohr magnetons per cell. Its raw total energy is -0.1924 hartree per atom. As for the volume: 10.9 Å³/atom.

Unit cell a=4.0078 b=4.0078 c=3.3860 alpha=90.00 beta=90.00 gamma=90.00
Last column: nearest neighbours and their distance in Å.
Sites, in units of the cell vectors:
P1 0.0000 0.0000 0.0000  2 F 1.69
B1 0.0000 0.5000 0.0000  2 P 2.00
B2 0.5000 0.0000 0.0000  2 P 2.00
Os1 0.5000 0.5000 0.5000  8 B 2.62, 4 F 2.83
F1 0.0000 0.0000 0.5000  2 P 1.69

***

Record 2
Density functional theory data (PBE) for a relaxed structure of B2OsPtF.

Output
As for the formation energy from raw total energies: 1709 meV per atom. For the spin magnetization, the calculation gives 0.0 Bohr magnetons per cell. Its raw total energy is -0.1760 hartree per atom. The calculation puts the energy above the most stable polymorph in this dataset at 6 meV per atom. As for the volume: 12.1 Å³/atom.

Unit cell a=3.8813 b=4.0193 c=3.8813 alpha=90.00 beta=90.00 gamma=90.00
Last column: nearest neighbours and their distance in Å.
Sites, in units of the cell vectors:
B1 0.0000 0.0000 0.5000  2 F 1.94
B2 0.5000 0.0000 0.0000  2 F 1.94
Os1 0.5000 0.5000 0.5000  4 Pt 2.74, 8 B 2.79
Pt1 0.0000 0.5000 0.0000  2 F 2.01
F1 0.0000 0.0000 0.0000  4 B 1.94, 2 Pt 2.01

***

Record 3
Density functional theory data (PBE) for a relaxed structure of B2OsPtF.

Output
As for the formation energy from raw total energies: 1703 meV per atom. For the spin magnetization, the calculation gives 0.0 Bohr magnetons per cell. Its raw total energy is -0.1763 hartree per atom. The calculation puts the energy above the most stable polymorph in this dataset at 0 meV per atom. As for the volume: 12.3 Å³/atom.

Unit cell a=3.9445 b=3.9557 c=3.9445 alpha=90.00 beta=90.00 gamma=90.00
Last column: nearest neighbours and their distance in Å.
Sites, in units of the cell vectors:
B1 0.0000 0.0000 0.5000  2 F 1.97
B2 0.5000 0.0000 0.0000  2 F 1.97
Os1 0.0000 0.5000 0.0000  2 F 1.98
Pt1 0.5000 0.5000 0.5000  4 Os 2.79, 8 B 2.79
F1 0.0000 0.0000 0.0000  4 B 1.97, 2 Os 1.98

***

Record 4
Density functional theory data (PBE) for a relaxed structure of Rb2BOsF6.

Output
As for the formation energy from raw total energies: -1488 meV per atom. For the spin magnetization, the calculation gives 1.0 Bohr magnetons per cell. Its raw total energy is -0.1689 hartree per atom. As for the volume: 16.3 Å³/atom.

Unit cell a=6.1221 b=6.1221 c=6.1330 alpha=60.06 beta=60.06 gamma=90.00
Last column: nearest neighbours and their distance in Å.
Sites, in units of the cell vectors:
B1 0.5000 0.5000 0.0000  6 F 2.27-2.29
Os1 0.0000 0.0000 0.0000  6 F 2.05-2.06
Rb1 0.7500 0.2500 0.5000  12 F 3.06-3.07
Rb2 0.2500 0.7500 0.5000  12 F 3.06-3.07
F1 0.2364 0.2364 0.5272  1 Os 2.05, 1 B 2.29
F2 0.7636 0.7636 0.4728  1 Os 2.05, 1 B 2.29
F3 0.2376 0.2376 0.0000  1 Os 2.06, 1 B 2.27
F4 0.7624 0.7624 0.0000  1 Os 2.06, 1 B 2.27
F5 0.7624 0.2376 0.0000  1 Os 2.06, 1 B 2.27
F6 0.2376 0.7624 0.0000  1 Os 2.06, 1 B 2.27

***

Record 5
Density functional theory data (PBE) for a relaxed structure of Sn2BOsF.

Output
As for the formation energy from raw total energies: 789 meV per atom. For the spin magnetization, the calculation gives 0.0 Bohr magnetons per cell. Its raw total energy is -0.1752 hartree per atom. As for the volume: 21.5 Å³/atom.

Unit cell a=5.1843 b=3.9993 c=5.1843 alpha=90.00 beta=90.00 gamma=90.00
Last column: nearest neighbours and their distance in Å.
Sites, in units of the cell vectors:
B1 0.5000 0.5000 0.5000  8 Sn 3.27, 4 F 3.67
Os1 0.0000 0.0000 0.0000  2 F 2.00
Sn1 0.0000 0.0000 0.5000  2 Os 2.59
Sn2 0.5000 0.0000 0.0000  2 Os 2.59
F1 0.0000 0.5000 0.0000  2 Os 2.00

***

Record 6
Density functional theory data (PBE) for a relaxed structure of B2TeOsF.

Output
As for the formation energy from raw total energies: 2215 meV per atom. For the spin magnetization, the calculation gives 2.3 Bohr magnetons per cell. Its raw total energy is -0.1362 hartree per atom. As for the volume: 20.0 Å³/atom.

Unit cell a=4.4198 b=5.1106 c=4.4198 alpha=90.00 beta=90.00 gamma=90.00
Last column: nearest neighbours and their distance in Å.
Sites, in units of the cell vectors:
B1 0.0000 0.0000 0.5000  2 Te 2.21
B2 0.5000 0.0000 0.0000  2 Te 2.21
Te1 0.0000 0.0000 0.0000  4 B 2.21
Os1 0.0000 0.5000 0.0000  2 Te 2.56
F1 0.5000 0.5000 0.5000  4 Os 3.13, 8 B 3.38

***

Record 7
Density functional theory data (PBE) for a relaxed structure of BTe2OsF.

Output
As for the formation energy from raw total energies: 1524 meV per atom. For the spin magnetization, the calculation gives 0.0 Bohr magnetons per cell. Its raw total energy is -0.1356 hartree per atom. As for the volume: 20.5 Å³/atom.

Unit cell a=5.1238 b=3.9067 c=5.1238 alpha=90.00 beta=90.00 gamma=90.00
Last column: nearest neighbours and their distance in Å.
Sites, in units of the cell vectors:
B1 0.5000 0.5000 0.5000  8 Te 3.22
Te1 0.0000 0.0000 0.5000  2 F 2.56
Te2 0.5000 0.0000 0.0000  2 F 2.56
Os1 0.0000 0.5000 0.0000  2 F 1.95
F1 0.0000 0.0000 0.0000  2 Os 1.95

***

Record 8
Density functional theory data (PBE) for a relaxed structure of BPF3.

Output
As for the formation energy from raw total energies: -135 meV per atom. For the spin magnetization, the calculation gives 0.8 Bohr magnetons per cell. Its raw total energy is -0.1351 hartree per atom. The calculation puts the energy above the most stable polymorph in this dataset at 0 meV per atom. As for the volume: 14.0 Å³/atom.

Unit cell a=4.1181 b=4.1181 c=4.1181 alpha=90.00 beta=90.00 gamma=90.00
Last column: nearest neighbours and their distance in Å.
Sites, in units of the cell vectors:
P1 0.0000 0.0000 0.0000  6 F 2.06
B1 0.5000 0.5000 0.5000  12 F 2.91
F1 0.0000 0.5000 0.0000  2 P 2.06
F2 0.0000 0.0000 0.5000  2 P 2.06
F3 0.5000 0.0000 0.0000  2 P 2.06

***

Record 9
Density functional theory data (PBE) for a relaxed structure of BP2F.

Output
As for the formation energy from raw total energies: 471 meV per atom. For the spin magnetization, the calculation gives 0.0 Bohr magnetons per cell. Its raw total energy is -0.1606 hartree per atom. The calculation puts the energy above the most stable polymorph in this dataset at 382 meV per atom. As for the volume: 10.7 Å³/atom.

Unit cell a=3.9219 b=3.9219 c=3.9219 alpha=60.00 beta=60.00 gamma=60.00
Last column: nearest neighbours and their distance in Å.
Sites, in units of the cell vectors:
P1 0.2500 0.2500 0.2500  4 F 2.40, 4 B 2.40
P2 0.7500 0.7500 0.7500  4 F 2.40, 4 B 2.40
B1 0.0000 0.0000 0.0000  8 P 2.40
F1 0.5000 0.5000 0.5000  8 P 2.40

***

Record 10
Density functional theory data (PBE) for a relaxed structure of BP2F.

Output
As for the formation energy from raw total energies: 89 meV per atom. For the spin magnetization, the calculation gives 0.0 Bohr magnetons per cell. Its raw total energy is -0.1747 hartree per atom. The calculation puts the energy above the most stable polymorph in this dataset at 0 meV per atom. As for the volume: 15.0 Å³/atom.

Unit cell a=4.9539 b=4.9539 c=6.0025 alpha=65.63 beta=65.63 gamma=90.00
Last column: nearest neighbours and their distance in Å.
Sites, in units of the cell vectors:
P1 0.5496 0.1250 0.2500  2 B 1.94
P2 0.2004 0.6250 0.2500  2 B 1.94
P3 0.3750 0.4504 0.7500  2 B 1.94
P4 0.8750 0.7996 0.7500  2 B 1.94
B1 0.5000 0.5000 0.0000  4 P 1.94
B2 0.2500 0.7500 0.5000  4 P 1.94
F1 0.0000 0.0000 0.0000  4 P 2.37
F2 0.7500 0.2500 0.5000  4 P 2.37

***

Record 11
Density functional theory data (PBE) for a relaxed structure of BPF3.

Output
As for the formation energy from raw total energies: -60 meV per atom. For the spin magnetization, the calculation gives 1.9 Bohr magnetons per cell. Its raw total energy is -0.1323 hartree per atom. The calculation puts the energy above the most stable polymorph in this dataset at 75 meV per atom. As for the volume: 11.2 Å³/atom.

Unit cell a=3.8212 b=3.8212 c=3.8212 alpha=90.00 beta=90.00 gamma=90.00
Last column: nearest neighbours and their distance in Å.
Sites, in units of the cell vectors:
P1 0.5000 0.5000 0.5000  12 F 2.70
B1 0.0000 0.0000 0.0000  6 F 1.91
F1 0.0000 0.5000 0.0000  2 B 1.91
F2 0.0000 0.0000 0.5000  2 B 1.91
F3 0.5000 0.0000 0.0000  2 B 1.91

***

Record 12
Density functional theory data (PBE) for a relaxed structure of BPPdF2.

Output
As for the formation energy from raw total energies: 314 meV per atom. For the spin magnetization, the calculation gives 0.0 Bohr magnetons per cell. Its raw total energy is -0.1430 hartree per atom. As for the volume: 15.6 Å³/atom.

Unit cell a=3.9691 b=4.9598 c=3.9691 alpha=90.00 beta=90.00 gamma=90.00
Last column: nearest neighbours and their distance in Å.
Sites, in units of the cell vectors:
P1 0.0000 0.5000 0.0000  2 Pd 2.48
B1 0.5000 0.5000 0.5000  4 P 2.81
Pd1 0.0000 0.0000 0.0000  4 F 1.98
F1 0.0000 0.0000 0.5000  2 Pd 1.98
F2 0.5000 0.0000 0.0000  2 Pd 1.98

***

Record 13
Density functional theory data (PBE) for a relaxed structure of BPS2F.

Output
As for the formation energy from raw total energies: 643 meV per atom. For the spin magnetization, the calculation gives 0.0 Bohr magnetons per cell. Its raw total energy is -0.1396 hartree per atom. The calculation puts the energy above the most stable polymorph in this dataset at 0 meV per atom. As for the volume: 14.0 Å³/atom.

Unit cell a=4.0807 b=4.0807 c=4.1921 alpha=90.00 beta=90.00 gamma=90.00
Last column: nearest neighbours and their distance in Å.
Sites, in units of the cell vectors:
P1 0.0000 0.0000 0.5000  2 B 2.10
S1 0.0000 0.5000 0.0000  2 B 2.04
S2 0.5000 0.0000 0.0000  2 B 2.04
B1 0.0000 0.0000 0.0000  4 S 2.04, 2 P 2.10
F1 0.5000 0.5000 0.5000  4 P 2.89, 8 S 2.93

***

Record 14
Density functional theory data (PBE) for a relaxed structure of BP2SF.

Output
As for the formation energy from raw total energies: 619 meV per atom. For the spin magnetization, the calculation gives 0.0 Bohr magnetons per cell. Its raw total energy is -0.1499 hartree per atom. The calculation puts the energy above the most stable polymorph in this dataset at 0 meV per atom. As for the volume: 13.8 Å³/atom.

Unit cell a=4.0999 b=4.0999 c=4.0927 alpha=90.00 beta=90.00 gamma=90.00
Last column: nearest neighbours and their distance in Å.
Sites, in units of the cell vectors:
P1 0.0000 0.5000 0.0000  2 B 2.05
P2 0.5000 0.0000 0.0000  2 B 2.05
S1 0.0000 0.0000 0.5000  2 B 2.05
B1 0.0000 0.0000 0.0000  2 S 2.05, 4 P 2.05
F1 0.5000 0.5000 0.5000  8 P 2.90, 4 S 2.90